Entry 1:
Below is a relaxed Li2Al2Cl7 crystal, with properties calculated at the PBE level.

Cell: 7.089 6.916 6.916 Å, 114.66 90.25 90.25°
Fractional positions:
Al (0.136, 0.707, 0.707)
Al (0.864, 0.293, 0.293)
Cl (0.199, 0.402, 0.402)
Cl (0.318, 0.590, 0.915)
Cl (0.318, 0.915, 0.590)
Cl (0.801, 0.598, 0.598)
Cl (0.682, 0.085, 0.410)
Cl (0.682, 0.410, 0.085)
Cl (0.000, 0.000, 0.000)
Li (0.500, 0.740, 0.260)
Li (0.500, 0.260, 0.740)

Summary:
Formation energy from raw total energies = -15.09 eV/f.u.


Entry 2:
Below is a relaxed YTiH crystal, with properties calculated at the PBE level.

Cell: 3.217 3.217 10.802 Å, 90.00 90.00 120.01°
Fractional positions:
Y (0.611, 0.223, 0.651)
Y (0.611, 0.223, 0.349)
Ti (0.278, 0.555, 0.122)
Ti (0.278, 0.555, 0.878)
H (0.611, 0.221, 0.000)
H (0.278, 0.557, 0.500)

Summary:
ΔE to the lowest computed polymorph = 0.089 eV/atom


Entry 3:
Below is a relaxed Sc8Cd2Rh crystal, with properties calculated at the PBE level.

Cell: 5.800 8.228 8.228 Å, 128.26 103.85 103.85°
Fractional positions:
Cd (0.490, 0.721, 0.298)
Cd (0.490, 0.298, 0.721)
Sc (0.666, 0.154, 0.378)
Sc (0.992, 0.196, 0.814)
Sc (0.666, 0.378, 0.154)
Sc (0.749, 0.724, 0.724)
Sc (0.270, 0.835, 0.616)
Sc (0.270, 0.616, 0.835)
Sc (0.147, 0.291, 0.291)
Sc (0.992, 0.814, 0.196)
Rh (0.268, 0.007, 0.007)

Summary:
Energy relative to the elements = -0.20 eV/atom


For reference, uncorrected energy by record: -3.5749 -5.8612 -5.6390 eV per atom.
For reference, mass density by record: 1.70 4.73 4.43 g cm⁻³.